# 1
Entry from Alexandria via LeMat-Bulk: an optimized crystal structure of HgIrAu (PBE).

## Properties
The value obtained for the offset from the most stable computed form is 0.2221 eV per atom. The space group is F-43m. As for the energy: -3.519 eV/atom. Its formation energy is 628 meV per atom.

a = 4.4730 Å, b = 4.4730 Å, c = 4.4730 Å
α = 60.00°, β = 60.00°, γ = 60.00°
Sites, in units of the cell vectors:
1 Ir 0.7500 0.7500 0.7500
2 Au 0.0000 0.0000 0.0000
3 Hg 0.5000 0.5000 0.5000

# 2
Entry from Alexandria via LeMat-Bulk: an optimized crystal structure of Hg2IrAu (PBE).

## Properties
The value obtained for the offset from the most stable computed form is 0.2238 eV per atom. The space group is I-42d. As for the energy: -2.638 eV/atom. Its formation energy is 548 meV per atom.

a = 4.0923 Å, b = 4.0923 Å, c = 10.1886 Å
α = 78.41°, β = 78.41°, γ = 90.00°
Sites, in units of the cell vectors:
1 Hg 0.1348 0.6250 0.2500
2 Hg 0.8750 0.8652 0.7500
3 Au 0.0000 0.0000 0.0000
4 Ir 0.2500 0.7500 0.5000
5 Hg 0.3750 0.3848 0.7500
6 Au 0.7500 0.2500 0.5000
7 Ir 0.5000 0.5000 0.0000
8 Hg 0.6152 0.1250 0.2500

# 3
Entry from Alexandria via LeMat-Bulk: an optimized crystal structure of Hg2IrAu (PBE).

## Properties
The value obtained for the offset from the most stable computed form is 0.1094 eV per atom. The space group is Immm. As for the energy: -2.752 eV/atom. Its formation energy is 433 meV per atom.

a = 5.6951 Å, b = 5.6951 Å, c = 5.6951 Å
α = 148.62°, β = 127.48°, γ = 62.46°
Sites, in units of the cell vectors:
1 Au 0.7500 0.2500 0.5000
2 Hg 0.4903 0.4903 0.0000
3 Ir 0.2500 0.7500 0.5000
4 Hg 0.0097 0.0097 0.0000

# 4
Entry from Alexandria via LeMat-Bulk: an optimized crystal structure of Hg2IrAu (PBE).

## Properties
The value obtained for the offset from the most stable computed form is 0.0607 eV per atom. The space group is Cmmm. As for the energy: -2.801 eV/atom. Its formation energy is 385 meV per atom.

a = 2.9801 Å, b = 2.9801 Å, c = 9.7833 Å
α = 90.00°, β = 90.00°, γ = 119.48°
Sites, in units of the cell vectors:
1 Ir 0.5000 0.5000 0.2500
2 Au 0.5000 0.5000 0.7500
3 Hg 0.0000 0.0000 0.0093
4 Hg 0.0000 0.0000 0.4907

# 5
Entry from Alexandria via LeMat-Bulk: an optimized crystal structure of HgIr2Au2 (PBE).

## Properties
The value obtained for the offset from the most stable computed form is 0.1598 eV per atom. The space group is I4/mmm. As for the energy: -4.231 eV/atom. Its formation energy is 684 meV per atom.

a = 3.9162 Å, b = 3.9162 Å, c = 6.8387 Å
α = 73.36°, β = 73.36°, γ = 90.00°
Sites, in units of the cell vectors:
1 Ir 0.5964 0.5964 0.8072
2 Hg 0.0000 0.0000 0.0000
3 Au 0.2500 0.7500 0.5000
4 Au 0.7500 0.2500 0.5000
5 Ir 0.4036 0.4036 0.1928

# 6
Entry from Alexandria via LeMat-Bulk: an optimized crystal structure of Hg2IrAu (PBE).

## Properties
The value obtained for the offset from the most stable computed form is 0.0270 eV per atom. The space group is Cmmm. As for the energy: -2.834 eV/atom. Its formation energy is 351 meV per atom.

a = 4.9492 Å, b = 4.9492 Å, c = 3.1567 Å
α = 90.05°, β = 90.05°, γ = 105.90°
Sites, in units of the cell vectors:
1 Hg 0.0000 0.0000 0.0000
2 Au 0.0000 0.5000 0.5000
3 Hg 0.5000 0.5000 0.0000
4 Ir 0.5000 0.0000 0.5000

# 7
Entry from Alexandria via LeMat-Bulk: an optimized crystal structure of Hg4IrAu (PBE).

## Properties
The space group is F-43m. As for the energy: -1.457 eV/atom. Its formation energy is 767 meV per atom.

a = 5.6391 Å, b = 5.6391 Å, c = 5.6391 Å
α = 60.00°, β = 60.00°, γ = 60.00°
Sites, in units of the cell vectors:
1 Hg 0.3752 0.3752 0.3752
2 Ir 0.7500 0.7500 0.7500
3 Au 0.0000 0.0000 0.0000
4 Hg 0.3752 0.8745 0.3752
5 Hg 0.3752 0.3752 0.8745
6 Hg 0.8745 0.3752 0.3752

# 8
Entry from Alexandria via LeMat-Bulk: an optimized crystal structure of Hg2IrAu (PBE).

## Properties
The value obtained for the offset from the most stable computed form is 0.0635 eV per atom. The space group is Pm. As for the energy: -2.798 eV/atom. Its formation energy is 388 meV per atom.

a = 4.5518 Å, b = 3.1229 Å, c = 5.6018 Å
α = 75.26°, β = 90.00°, γ = 90.00°
Sites, in units of the cell vectors:
1 Hg 0.5000 0.2688 0.3178
2 Ir 0.0000 0.7034 0.4618
3 Au 0.5000 0.5543 0.7768
4 Hg 0.0000 0.9736 0.9435

# 9
Entry from Alexandria via LeMat-Bulk: an optimized crystal structure of Hg2IrAu (PBE).

## Properties
The value obtained for the offset from the most stable computed form is 0.1154 eV per atom. The space group is I-4m2. As for the energy: -2.746 eV/atom. Its formation energy is 439 meV per atom.

a = 5.1976 Å, b = 5.1976 Å, c = 5.1976 Å
α = 132.59°, β = 132.59°, γ = 69.30°
Sites, in units of the cell vectors:
1 Hg 0.2500 0.7500 0.5000
2 Hg 0.0000 0.0000 0.0000
3 Ir 0.5000 0.5000 0.0000
4 Au 0.7500 0.2500 0.5000

# 10
Entry from Alexandria via LeMat-Bulk: an optimized crystal structure of HgIrAu (PBE).

## Properties
The value obtained for the offset from the most stable computed form is 0.0346 eV per atom. The space group is I4mm. As for the energy: -3.706 eV/atom. Its formation energy is 440 meV per atom.

a = 6.4376 Å, b = 6.4376 Å, c = 6.4376 Å
α = 153.41°, β = 153.41°, γ = 37.96°
Sites, in units of the cell vectors:
1 Ir 0.6646 0.6646 0.0000
2 Hg 0.3276 0.3276 0.0000
3 Au 0.0078 0.0078 0.0000

# 11
Entry from Alexandria via LeMat-Bulk: an optimized crystal structure of LiHgIr2Au (PBE).

## Properties
The space group is P4/mmm. As for the energy: -3.443 eV/atom. Its formation energy is 1200 meV per atom.

a = 4.9402 Å, b = 4.4456 Å, c = 4.9402 Å
α = 90.00°, β = 90.00°, γ = 90.00°
Site moments in Bohr magnetons follow the coordinates.
Sites, in units of the cell vectors:
1 Li 0.0000 0.5000 0.0000  -0.01
2 Ir 0.0000 0.0000 0.5000  0.74
3 Hg 0.5000 0.5000 0.5000  0.00
4 Ir 0.5000 0.0000 0.0000  0.24
5 Au 0.0000 0.0000 0.0000  0.15

# 12
Entry from Alexandria via LeMat-Bulk: an optimized crystal structure of Mg5Hg2Ir2Au (PBE).

## Properties
The space group is P4/mbm. As for the energy: -3.174 eV/atom. Its formation energy is -217 meV per atom.

a = 3.8947 Å, b = 9.9546 Å, c = 9.9546 Å
α = 90.00°, β = 90.00°, γ = 90.00°
Sites, in units of the cell vectors:
1 Mg 0.5000 0.0000 0.5000
2 Ir 0.0000 0.6225 0.8775
3 Mg 0.5000 0.7009 0.4212
4 Hg 0.0000 0.8262 0.6738
5 Hg 0.0000 0.3262 0.8262
6 Mg 0.5000 0.0788 0.7991
7 Ir 0.0000 0.3775 0.1225
8 Mg 0.5000 0.2991 0.5788
9 Hg 0.0000 0.6738 0.1738
10 Mg 0.5000 0.5788 0.7009
11 Mg 0.5000 0.9212 0.2009
12 Mg 0.5000 0.4212 0.2991
13 Mg 0.5000 0.2009 0.0788
14 Mg 0.5000 0.7991 0.9212
15 Hg 0.0000 0.1738 0.3262
16 Au 0.0000 0.5000 0.5000
17 Mg 0.5000 0.5000 0.0000
18 Ir 0.0000 0.1225 0.6225
19 Au 0.0000 0.0000 0.0000
20 Ir 0.0000 0.8775 0.3775

# 13
Entry from Alexandria via LeMat-Bulk: an optimized crystal structure of MgHgIrAu2 (PBE).

## Properties
The space group is P4/mmm. As for the energy: -2.152 eV/atom. Its formation energy is 1310 meV per atom.

a = 5.0594 Å, b = 4.8998 Å, c = 5.0594 Å
α = 90.00°, β = 90.00°, γ = 90.00°
Site moments in Bohr magnetons follow the coordinates.
Sites, in units of the cell vectors:
1 Hg 0.0000 0.0000 0.0000  0.00
2 Mg 0.0000 0.5000 0.0000  -0.01
3 Au 0.0000 0.0000 0.5000  0.01
4 Ir 0.5000 0.5000 0.5000  0.60
5 Au 0.5000 0.0000 0.0000  0.00

# 14
Entry from Alexandria via LeMat-Bulk: an optimized crystal structure of NaHgIr2Au (PBE).

## Properties
The space group is P4/mmm. As for the energy: -2.605 eV/atom. Its formation energy is 1919 meV per atom.

a = 4.6558 Å, b = 4.7033 Å, c = 4.6558 Å
α = 90.00°, β = 90.00°, γ = 90.00°
Site moments in Bohr magnetons follow the coordinates.
Sites, in units of the cell vectors:
1 Ir 0.5000 0.0000 0.0000  0.67
2 Hg 0.0000 0.5000 0.0000  0.00
3 Au 0.5000 0.5000 0.5000  0.06
4 Ir 0.0000 0.0000 0.5000  0.51
5 Na 0.0000 0.0000 0.0000  -0.01

# 15
Entry from Alexandria via LeMat-Bulk: an optimized crystal structure of HgPIr2Au (PBE).

## Properties
The space group is P4/mmm. As for the energy: -3.303 eV/atom. Its formation energy is 2039 meV per atom.

a = 4.9510 Å, b = 5.0195 Å, c = 4.9510 Å
α = 90.00°, β = 90.00°, γ = 90.00°
Site moments in Bohr magnetons follow the coordinates.
Sites, in units of the cell vectors:
1 Ir 0.5000 0.0000 0.0000  0.62
2 Hg 0.0000 0.5000 0.0000  0.00
3 Au 0.0000 0.0000 0.0000  0.13
4 P 0.5000 0.5000 0.5000  -0.01
5 Ir 0.0000 0.0000 0.5000  1.01

# 16
Entry from Alexandria via LeMat-Bulk: an optimized crystal structure of Pm5Hg2Ir2Au (PBE).

## Properties
The space group is P4/mbm. As for the energy: -5.092 eV/atom. Its formation energy is -557 meV per atom.

a = 3.7896 Å, b = 11.8836 Å, c = 11.8836 Å
α = 90.00°, β = 90.00°, γ = 90.00°
Sites, in units of the cell vectors:
1 Pm 0.5000 0.0870 0.8024
2 Pm 0.5000 0.3024 0.5870
3 Ir 0.0000 0.1327 0.6327
4 Ir 0.0000 0.8673 0.3673
5 Hg 0.0000 0.8295 0.6705
6 Pm 0.5000 0.6976 0.4130
7 Pm 0.5000 0.8024 0.9130
8 Hg 0.0000 0.3295 0.8295
9 Pm 0.5000 0.9130 0.1976
10 Hg 0.0000 0.1705 0.3295
11 Pm 0.5000 0.5870 0.6976
12 Pm 0.5000 0.0000 0.5000
13 Au 0.0000 0.0000 0.0000
14 Pm 0.5000 0.1976 0.0870
15 Au 0.0000 0.5000 0.5000
16 Hg 0.0000 0.6705 0.1705
17 Pm 0.5000 0.4130 0.3024
18 Ir 0.0000 0.6327 0.8673
19 Pm 0.5000 0.5000 0.0000
20 Ir 0.0000 0.3673 0.1327

# 17
Entry from Alexandria via LeMat-Bulk: an optimized crystal structure of Pm4HgIrAu2 (PBE).

## Properties
The space group is R-3m. As for the energy: -5.036 eV/atom. Its formation energy is -696 meV per atom.

a = 5.2208 Å, b = 5.2208 Å, c = 8.9642 Å
α = 73.07°, β = 73.07°, γ = 60.00°
Sites, in units of the cell vectors:
1 Pm 0.6159 0.6159 0.1524
2 Pm 0.8676 0.8676 0.3971
3 Pm 0.3841 0.3841 0.8476
4 Hg 0.0000 0.0000 0.0000
5 Ir 0.5000 0.5000 0.5000
6 Pm 0.1324 0.1324 0.6029
7 Au 0.7398 0.7398 0.7806
8 Au 0.2602 0.2602 0.2194

# 18
Entry from Alexandria via LeMat-Bulk: an optimized crystal structure of Pr5Hg2Ir2Au (PBE).

## Properties
The space group is P4/mbm. As for the energy: -5.067 eV/atom. Its formation energy is -517 meV per atom.

a = 3.8471 Å, b = 12.0408 Å, c = 12.0408 Å
α = 90.00°, β = 90.00°, γ = 90.00°
Sites, in units of the cell vectors:
1 Au 0.0000 0.0000 0.0000
2 Hg 0.0000 0.3292 0.8292
3 Ir 0.0000 0.8673 0.3673
4 Pr 0.5000 0.4123 0.3026
5 Hg 0.0000 0.8292 0.6708
6 Pr 0.5000 0.3026 0.5877
7 Au 0.0000 0.5000 0.5000
8 Ir 0.0000 0.6327 0.8673
9 Ir 0.0000 0.1327 0.6327
10 Pr 0.5000 0.6974 0.4123
11 Pr 0.5000 0.0000 0.5000
12 Pr 0.5000 0.1974 0.0877
13 Pr 0.5000 0.8026 0.9123
14 Pr 0.5000 0.5000 0.0000
15 Hg 0.0000 0.1708 0.3292
16 Pr 0.5000 0.0877 0.8026
17 Hg 0.0000 0.6708 0.1708
18 Pr 0.5000 0.9123 0.1974
19 Ir 0.0000 0.3673 0.1327
20 Pr 0.5000 0.5877 0.6974

# 19
Entry from Alexandria via LeMat-Bulk: an optimized crystal structure of HgSbIrAu2 (PBE).

## Properties
As for the uncorrected formation energy: 1.56 eV/atom. The space group is P4/mmm. As for the energy: -2.411 eV/atom.

a = 5.0742 Å, b = 5.3711 Å, c = 5.0742 Å
α = 90.00°, β = 90.00°, γ = 90.00°
Site moments in Bohr magnetons follow the coordinates.
Sites, in units of the cell vectors:
1 Hg 0.0000 0.0000 0.0000  -0.01
2 Au 0.5000 0.0000 0.0000  0.00
3 Sb 0.0000 0.5000 0.0000  -0.02
4 Au 0.0000 0.0000 0.5000  0.01
5 Ir 0.5000 0.5000 0.5000  0.96

# 20
Entry from Alexandria via LeMat-Bulk: an optimized crystal structure of Sm5Hg2Ir2Au (PBE).

## Properties
The space group is P4/mbm. As for the energy: -5.088 eV/atom. Its formation energy is -568 meV per atom.

a = 3.7690 Å, b = 11.8308 Å, c = 11.8308 Å
α = 90.00°, β = 90.00°, γ = 90.00°
Sites, in units of the cell vectors:
1 Sm 0.5000 0.0000 0.5000
2 Ir 0.0000 0.8673 0.3673
3 Hg 0.0000 0.3293 0.8293
4 Sm 0.5000 0.0867 0.8023
5 Sm 0.5000 0.4133 0.3023
6 Sm 0.5000 0.9133 0.1977
7 Sm 0.5000 0.5867 0.6977
8 Sm 0.5000 0.6977 0.4133
9 Hg 0.0000 0.1707 0.3293
10 Sm 0.5000 0.1977 0.0867
11 Ir 0.0000 0.3673 0.1327
12 Hg 0.0000 0.8293 0.6707
13 Au 0.0000 0.0000 0.0000
14 Au 0.0000 0.5000 0.5000
15 Hg 0.0000 0.6707 0.1707
16 Ir 0.0000 0.6327 0.8673
17 Ir 0.0000 0.1327 0.6327
18 Sm 0.5000 0.8023 0.9133
19 Sm 0.5000 0.3023 0.5867
20 Sm 0.5000 0.5000 0.0000

# 21
Entry from Alexandria via LeMat-Bulk: an optimized crystal structure of SnHg2IrAu (PBE).

## Properties
The space group is P4/mmm. As for the energy: -2.256 eV/atom. Its formation energy is 1093 meV per atom.

a = 5.1916 Å, b = 5.2685 Å, c = 5.1916 Å
α = 90.00°, β = 90.00°, γ = 90.00°
Site moments in Bohr magnetons follow the coordinates.
Sites, in units of the cell vectors:
1 Hg 0.0000 0.0000 0.5000  0.01
2 Sn 0.0000 0.5000 0.0000  -0.03
3 Ir 0.5000 0.5000 0.5000  1.26
4 Au 0.0000 0.0000 0.0000  0.00
5 Hg 0.5000 0.0000 0.0000  0.03

# 22
Entry from Alexandria via LeMat-Bulk: an optimized crystal structure of HgIr2WAu (PBE).

## Properties
The space group is P4/mmm. As for the energy: -4.259 eV/atom. Its formation energy is 2592 meV per atom.

a = 4.9156 Å, b = 4.9036 Å, c = 4.9156 Å
α = 90.00°, β = 90.00°, γ = 90.00°
Site moments in Bohr magnetons follow the coordinates.
Sites, in units of the cell vectors:
1 Au 0.0000 0.5000 0.0000  0.04
2 Ir 0.5000 0.0000 0.0000  -0.15
3 W 0.5000 0.5000 0.5000  2.52
4 Ir 0.0000 0.0000 0.5000  -0.20
5 Hg 0.0000 0.0000 0.0000  -0.01

# 23
Entry from Alexandria via LeMat-Bulk: an optimized crystal structure of ZnHgIrAu2 (PBE).

## Properties
The space group is P4/mmm. As for the energy: -2.022 eV/atom. Its formation energy is 1376 meV per atom.

a = 5.1177 Å, b = 5.1177 Å, c = 5.1168 Å
α = 90.00°, β = 90.00°, γ = 90.00°
Sites, in units of the cell vectors:
1 Hg 0.0000 0.0000 0.0000
2 Ir 0.0000 0.0000 0.5000
3 Zn 0.5000 0.5000 0.5000
4 Au 0.5000 0.0000 0.0000
5 Au 0.0000 0.5000 0.0000

# 24
Entry from Alexandria via LeMat-Bulk: an optimized crystal structure of K2HgAu (PBE).

## Properties
The space group is F-43m. As for the energy: -1.606 eV/atom. Its formation energy is -163 meV per atom.

a = 5.5972 Å, b = 5.5972 Å, c = 5.5972 Å
α = 60.00°, β = 60.00°, γ = 60.00°
Sites, in units of the cell vectors:
1 K 0.0000 0.0000 0.0000
2 Hg 0.7500 0.7500 0.7500
3 Au 0.5000 0.5000 0.5000
4 K 0.2500 0.2500 0.2500

# 25
Entry from Alexandria via LeMat-Bulk: an optimized crystal structure of KHg2Au4 (PBE).

## Properties
The space group is I4/mmm. As for the energy: -2.046 eV/atom. Its formation energy is 70 meV per atom.

a = 6.7610 Å, b = 6.7610 Å, c = 6.7610 Å
α = 102.33°, β = 102.33°, γ = 124.96°
Sites, in units of the cell vectors:
1 Au 0.7262 0.5000 0.2262
2 K 0.0000 0.0000 0.0000
3 Hg 0.7500 0.2500 0.5000
4 Au 0.2738 0.5000 0.7738
5 Au 0.5000 0.2738 0.7738
6 Au 0.5000 0.7262 0.2262
7 Hg 0.2500 0.7500 0.5000